First-principles (PBE with a Hubbard U) data for a geometry-optimized YNi2F2 structure, as listed in Alexandria.

## Properties
**Energy**: -40.62 eV/cell

Cell: 3.2523 3.2523 14.4506 Å, 90.00 90.00 90.00°
Space group I4/mmm (No. 139)
One atom of each set of equivalent atoms:
Y (0.0000, 0.0000, 0.0000) [2 per cell]
Ni (0.0000, 0.5000, 0.2500) [4 per cell]
F (0.0000, 0.0000, 0.4233) [4 per cell]